{"formula": "MgIn2HgIr", "functional": "PBE-GGA", "state": "optimized geometry", "final_energy_ev_per_atom": -3.367, "ef_mev_per_atom": -120, "magmom_total_mub_per_fu": 0.00, "cell": [[5.178, 0.000, 0.000], [0.000, 5.178, 0.000], [0.000, 0.000, 5.106]], "species": ["Mg", "Ir", "Hg", "In", "In"], "fractional_positions": [[0.000, 0.000, 0.500], [0.000, 0.000, 0.000], [0.500, 0.500, 0.500], [0.000, 0.500, 0.000], [0.500, 0.000, 0.000]]}

***

{"formula": "Mg5In2HgIr2", "functional": "PBE-GGA", "state": "optimized geometry", "final_energy_ev_per_atom": -3.388, "ef_mev_per_atom": -241, "magmom_total_mub_per_fu": 0.00, "cell": [[-2.594, 3.346, -0.158], [-0.750, -1.035, -9.600], [-7.620, -5.850, 1.226]], "species": ["Mg", "Mg", "Mg", "Mg", "Mg", "Mg", "Mg", "Mg", "Mg", "Mg", "In", "In", "In", "In", "Hg", "Hg", "Ir", "Ir", "Ir", "Ir"], "fractional_positions": [[0.500, 0.209, 0.078], [0.500, 0.791, 0.922], [0.500, 0.078, 0.791], [0.500, 0.709, 0.422], [0.500, 0.922, 0.209], [0.500, 0.291, 0.578], [0.500, 0.578, 0.709], [0.500, 0.422, 0.291], [0.500, 0.500, 0.000], [0.500, 0.000, 0.500], [0.000, 0.673, 0.173], [0.000, 0.327, 0.827], [0.000, 0.173, 0.327], [0.000, 0.827, 0.673], [0.000, 0.000, 0.000], [0.000, 0.500, 0.500], [0.000, 0.120, 0.620], [0.000, 0.880, 0.380], [0.000, 0.620, 0.880], [0.000, 0.380, 0.120]]}